1.
Density functional theory data (PBE) for a geometry-optimized MgTi2SiTe structure.

Geometry as POSCAR:
```
MgTi2SiTe
1.0
4.7435 0.0000 0.0000
0.0000 4.7435 0.0000
0.0000 0.0000 5.3381
Mg Ti Si Te
1 2 1 1
direct
0.0000 0.0000 0.0000
0.0000 0.5000 0.5000
0.5000 0.0000 0.5000
0.5000 0.5000 0.5000
0.5000 0.5000 0.0000
```

Computed properties:
- formation energy (no corrections) (eV per atom) = 0.4349
- SG = P4/mmm
- total magnetic moment (μB per cell) = 0.882

=====

2.
Density functional theory data (PBE) for a geometry-optimized MgAlCu2 structure.

Geometry as POSCAR:
```
MgAlCu2
1.0
4.7470 -1.4361 0.0000
4.7470 1.4361 0.0000
-1.5192 0.0000 4.2367
Mg Al Cu
1 1 2
direct
0.0000 0.0000 0.0000
0.7780 0.7780 0.3542
0.2435 0.2435 0.8249
0.5181 0.5181 0.5057
```

Computed properties:
- E_form (eV per atom) = -0.121
- SG = Cm
- total magnetic moment (μB per cell) = 0.000

=====

3.
Density functional theory data (PBE) for a geometry-optimized RbLiTaI6 structure.

Geometry as POSCAR:
```
RbLiTaI6
1.0
7.5652 0.0000 0.0000
-3.7826 6.5516 0.0000
0.0000 0.0000 16.4029
Rb Li Ta I
2 2 2 12
direct
0.0000 0.0000 0.0000
0.0000 0.0000 0.5000
0.3333 0.6667 0.2500
0.6667 0.3333 0.7500
0.3333 0.6667 0.7500
0.6667 0.3333 0.2500
0.0180 0.3769 0.6513
0.0180 0.6410 0.8487
0.3590 0.3769 0.8487
0.3590 0.9820 0.6513
0.3769 0.0180 0.1513
0.3769 0.3590 0.3487
0.6231 0.6410 0.6513
0.6231 0.9820 0.8487
0.6410 0.0180 0.3487
0.6410 0.6231 0.1513
0.9820 0.3590 0.1513
0.9820 0.6231 0.3487
```

Computed properties:
- formation energy (no corrections) (eV per atom) = -0.7804
- SG = P-31c
- total magnetic moment (μB per cell) = 2.001